[1]
Entry from Alexandria: a relaxed structure of SrZr2Re (GGA-PBE).

As for the energy relative to the lowest polymorph listed for this composition: 0.3824 eV/atom. The energy relative to the elements is 0.51 eV/atom. The value obtained for the magnetization is 0.00 μB per cell. Its total energy is -7.30 eV per atom.

The structure belongs to space group Fm-3m (No. 225); the cell edges are 7.064, 7.064 and 7.064 Å and the angles 90.00°, 90.00° and 90.00°. Symmetry generates all atoms from Sr at (0.000, 0.000, 0.000), Zr at (0.250, 0.250, 0.250) and Re at (0.000, 0.000, 0.500).

---

[2]
Entry from Alexandria: a relaxed structure of SrZrRe2 (GGA-PBE).

As for the energy relative to the lowest polymorph listed for this composition: 0.0000 eV/atom. The energy relative to the elements is 0.47 eV/atom. The value obtained for the magnetization is 0.00 μB per cell. Its total energy is -8.32 eV per atom.

The structure belongs to space group Pm (No. 6); the cell edges are 3.060, 4.021 and 7.689 Å and the angles 90.00°, 94.39° and 90.00°. Symmetry generates all atoms from Sr at (0.000, 0.000, 0.000), Zr at (0.658, 0.500, 0.374), Re at (0.124, 0.000, 0.573) and Re at (0.500, 0.500, 0.699).

---

[3]
Entry from Alexandria: a relaxed structure of Sr3ZrRe (GGA-PBE).

As for the energy relative to the lowest polymorph listed for this composition: 0.0000 eV/atom. The energy relative to the elements is 1.35 eV/atom. The value obtained for the magnetization is 0.00 μB per cell. Its total energy is -3.86 eV per atom.

The structure belongs to space group Pm-3m (No. 221); the cell edges are 5.733, 5.733 and 5.733 Å and the angles 90.00°, 90.00° and 90.00°. Symmetry generates all atoms from Sr at (0.000, 0.000, 0.500), Zr at (0.500, 0.500, 0.500) and Re at (0.000, 0.000, 0.000).

---

[4]
Entry from Alexandria: a relaxed structure of SrZrRe2 (GGA-PBE).

As for the energy relative to the lowest polymorph listed for this composition: 0.4149 eV/atom. The energy relative to the elements is 0.88 eV/atom. The value obtained for the magnetization is 0.00 μB per cell. Its total energy is -7.90 eV per atom.

The structure belongs to space group Immm (No. 71); the cell edges are 3.225, 4.966 and 9.672 Å and the angles 90.00°, 90.00° and 90.00°. Symmetry generates all atoms from Sr at (0.000, 0.000, 0.000), Zr at (0.000, 0.000, 0.500) and Re at (0.000, 0.500, 0.238).

---

[5]
Entry from Alexandria: a relaxed structure of Sr2ZrRe (GGA-PBE).

As for the energy relative to the lowest polymorph listed for this composition: 0.4999 eV/atom. The energy relative to the elements is 0.84 eV/atom. The value obtained for the magnetization is 0.00 μB per cell. Its total energy is -5.25 eV per atom.

The structure belongs to space group I-4m2 (No. 119); the cell edges are 5.238, 5.238 and 7.363 Å and the angles 90.00°, 90.00° and 90.00°. Symmetry generates all atoms from Sr at (0.000, 0.000, 0.000), Sr at (0.000, 0.500, 0.250), Zr at (0.000, 0.500, 0.750) and Re at (0.000, 0.000, 0.500).

---

[6]
Entry from Alexandria: a relaxed structure of Sr3ZrRe (GGA-PBE).

As for the energy relative to the lowest polymorph listed for this composition: 0.8050 eV/atom. The energy relative to the elements is 2.15 eV/atom. The value obtained for the magnetization is 0.99 μB per cell. Its total energy is -3.05 eV per atom.

The structure belongs to space group Pm-3m (No. 221); the cell edges are 5.764, 5.764 and 5.764 Å and the angles 90.00°, 90.00° and 90.00°. Symmetry generates all atoms from Sr at (0.000, 0.000, 0.500), Zr at (0.000, 0.000, 0.000) and Re at (0.500, 0.500, 0.500).